Model one:
KCaCr2 | PBE | optimized geometry

POSCAR file:
```
KCaCr2
1.0
1.781 1.028 11.251
-1.781 1.028 11.251
0.000 -2.056 11.251
K Ca Cr
1 1 2
direct
0.000 0.000 0.000
0.500 0.500 0.500
0.243 0.243 0.243
0.757 0.757 0.757
```

Calculated values
- M_tot (μB per atom) = 2.37

***

Model two:
KCaCr2 | PBE | optimized geometry

POSCAR file:
```
KCaCr2
1.0
-1.997 1.997 11.064
1.997 -1.997 11.064
1.997 1.997 -11.064
K Ca Cr
2 2 4
direct
0.000 0.000 0.000
0.750 0.250 0.500
0.250 0.750 0.500
0.500 0.500 0.000
0.222 0.625 0.097
0.375 0.472 0.597
0.528 0.125 0.903
0.875 0.778 0.403
```

Calculated values
- M_tot (μB per atom) = 0.00

***

Model three:
KCaCr2 | PBE | optimized geometry

POSCAR file:
```
KCaCr2
1.0
3.378 0.000 0.000
0.000 3.380 0.000
-0.012 0.000 9.625
K Ca Cr
1 1 2
direct
0.000 0.000 0.000
0.494 0.500 0.391
0.496 0.500 0.709
0.995 0.000 0.624
```

Calculated values
- M_tot (μB per atom) = 0.07

***

Model four:
KCaCr2 | PBE | optimized geometry

POSCAR file:
```
KCaCr2
1.0
0.000 3.982 3.982
3.982 0.000 3.982
3.982 3.982 0.000
K Ca Cr
1 1 2
direct
0.000 0.000 0.000
0.500 0.500 0.500
0.250 0.250 0.250
0.750 0.750 0.750
```

Calculated values
- M_tot (μB per atom) = 2.46

***

Least stable structure: model two

***

Model one:
KCaCr2 | PBE | optimized geometry

POSCAR file:
```
KCaCr2
1.0
3.874 0.000 0.000
0.000 3.874 0.000
0.000 0.000 8.682
K Ca Cr
1 1 2
direct
0.000 0.000 0.000
0.000 0.000 0.500
0.500 0.500 0.299
0.500 0.500 0.701
```

Calculated values
- M_tot (μB per atom) = 2.45

***

Model two:
KCaCr2 | PBE | optimized geometry

POSCAR file:
```
KCaCr2
1.0
-2.470 2.470 4.984
2.470 -2.470 4.984
2.470 2.470 -4.984
K Ca Cr
1 1 2
direct
0.000 0.000 0.000
0.250 0.750 0.500
0.500 0.500 0.000
0.750 0.250 0.500
```

Calculated values
- M_tot (μB per atom) = 2.46

***

Model three:
KCaCr2 | PBE | optimized geometry

POSCAR file:
```
KCaCr2
1.0
5.314 -1.648 0.000
5.314 1.648 0.000
-0.693 0.000 7.672
K Ca Cr
1 1 2
direct
0.000 0.000 0.000
0.500 0.500 0.500
0.245 0.245 0.664
0.755 0.755 0.336
```

Calculated values
- M_tot (μB per atom) = 2.26

***

Least stable structure: model two

***

Model one:
K2CaCr | PBE | optimized geometry

POSCAR file:
```
K2CaCr
1.0
3.608 -6.297 0.000
3.608 6.297 0.000
0.000 0.000 3.873
K Ca Cr
2 1 1
direct
0.000 0.500 0.000
0.500 0.000 0.000
0.000 0.000 0.500
0.500 0.500 0.500
```

Calculated values
- M_tot (μB per atom) = 1.21

***

Model two:
K2CaCr | PBE | optimized geometry

POSCAR file:
```
K2CaCr
1.0
3.575 -6.787 0.000
3.575 6.787 0.000
-1.915 0.000 3.496
K Ca Cr
2 1 1
direct
0.000 0.500 0.000
0.500 0.000 0.000
0.000 0.000 0.500
0.500 0.500 0.500
```

Calculated values
- M_tot (μB per atom) = 1.23

***

Model three:
K2CaCr | PBE | optimized geometry

POSCAR file:
```
K2CaCr
1.0
5.145 0.000 0.000
0.000 5.155 0.000
0.000 0.000 6.367
K Ca Cr
2 1 1
direct
0.000 0.000 0.000
0.500 0.500 0.000
0.000 0.500 0.500
0.500 0.000 0.500
```

Calculated values
- M_tot (μB per atom) = 1.30

***

Least stable structure: model one

***

Model one:
K2CaCr | PBE | optimized geometry

POSCAR file:
```
K2CaCr
1.0
1.971 1.138 13.109
-1.971 1.138 13.109
0.000 -2.275 13.109
K Ca Cr
2 1 1
direct
0.239 0.239 0.239
0.761 0.761 0.761
0.000 0.000 0.000
0.500 0.500 0.500
```

Calculated values
- M_tot (μB per atom) = 1.25

***

Model two:
K2CaCr | PBE | optimized geometry

POSCAR file:
```
K2CaCr
1.0
0.000 4.373 4.373
4.373 0.000 4.373
4.373 4.373 0.000
K Ca Cr
2 1 1
direct
0.000 0.000 0.000
0.250 0.250 0.250
0.750 0.750 0.750
0.500 0.500 0.500
```

Calculated values
- M_tot (μB per atom) = 1.29

***

Model three:
K2CaCr | PBE | optimized geometry

POSCAR file:
```
K2CaCr
1.0
4.027 0.000 0.000
0.000 6.682 0.000
-0.641 0.000 6.292
K Ca Cr
2 1 1
direct
0.222 0.000 0.266
0.778 0.000 0.734
0.500 0.500 0.000
0.000 0.500 0.500
```

Calculated values
- M_tot (μB per atom) = 1.23

***

Least stable structure: model one